Entry P
# LiLaPS2 (GGA-PBE, optimized geometry)
data_LiLaPS2
_chemical_formula_sum 'Li1 La1 P1 S2'
_symmetry_space_group_name_H-M 'P 4/m m m'
_symmetry_Int_Tables_number 123
_symmetry_space_group_name_Hall '-P 4 2'
_cell_length_a 5.5490
_cell_length_b 5.5490
_cell_length_c 5.8203
_cell_angle_alpha 90.00
_cell_angle_beta 90.00
_cell_angle_gamma 90.00
loop_
_atom_site_label
_atom_site_fract_x
_atom_site_fract_y
_atom_site_fract_z
_atom_site_occupancy
Li1 0.0000 0.0000 0.0000 1
La1 0.5000 0.5000 0.5000 1
P1 0.5000 0.5000 0.0000 1
S1 0.0000 0.5000 0.5000 1
# Total magnetic moment (μB per formula unit): 2.56
# Calculated volume (Å³/cell): 179


Entry Q
# LiLaPS2 (GGA-PBE, optimized geometry)
data_LiLaPS2
_chemical_formula_sum 'Li1 La1 P1 S2'
_symmetry_space_group_name_H-M 'P 4/m m m'
_symmetry_Int_Tables_number 123
_symmetry_space_group_name_Hall '-P 4 2'
_cell_length_a 4.6767
_cell_length_b 4.6767
_cell_length_c 4.3374
_cell_angle_alpha 90.00
_cell_angle_beta 90.00
_cell_angle_gamma 90.00
loop_
_atom_site_label
_atom_site_fract_x
_atom_site_fract_y
_atom_site_fract_z
_atom_site_occupancy
Li1 0.0000 0.0000 0.0000 1
La1 0.5000 0.5000 0.5000 1
P1 0.0000 0.0000 0.5000 1
S1 0.0000 0.5000 0.0000 1
# Total magnetic moment (μB per formula unit): 0.00
# Calculated volume (Å³/cell): 95


The computed energies, referenced to the most stable structure and given in kJ/mol of atoms, are entry P 48.4; entry Q 0.0.


Entry P
# LiLa2Pb2 (GGA-PBE, optimized geometry)
data_LiLa2Pb2
_chemical_formula_sum 'Li2 La4 Pb4'
_symmetry_space_group_name_H-M 'P 4/m b m'
_symmetry_Int_Tables_number 127
_symmetry_space_group_name_Hall '-P 4 2ab'
_cell_length_a 8.0172
_cell_length_b 8.0172
_cell_length_c 4.8763
_cell_angle_alpha 90.00
_cell_angle_beta 90.00
_cell_angle_gamma 90.00
loop_
_atom_site_label
_atom_site_fract_x
_atom_site_fract_y
_atom_site_fract_z
_atom_site_occupancy
Li1 0.0000 0.0000 0.0000 1
La1 0.1712 0.3288 0.5000 1
Pb1 0.1364 0.6364 0.0000 1
# Total magnetic moment (μB per formula unit): 0.00
# Calculated volume (Å³/cell): 313


Entry Q
# LiLa2Pb2 (GGA-PBE, optimized geometry)
data_LiLa2Pb2
_chemical_formula_sum 'Li2 La4 Pb4'
_symmetry_space_group_name_H-M 'P 4/m b m'
_symmetry_Int_Tables_number 127
_symmetry_space_group_name_Hall '-P 4 2ab'
_cell_length_a 9.5000
_cell_length_b 9.5000
_cell_length_c 3.7258
_cell_angle_alpha 90.00
_cell_angle_beta 90.00
_cell_angle_gamma 90.00
loop_
_atom_site_label
_atom_site_fract_x
_atom_site_fract_y
_atom_site_fract_z
_atom_site_occupancy
Li1 0.0000 0.0000 0.0000 1
La1 0.1289 0.3711 0.0000 1
Pb1 0.1722 0.6722 0.5000 1
# Total magnetic moment (μB per formula unit): 0.09
# Calculated volume (Å³/cell): 336


Entry R
# LiLa2Pb2 (GGA-PBE, optimized geometry)
data_LiLa2Pb2
_chemical_formula_sum 'Li4 La8 Pb8'
_symmetry_space_group_name_H-M 'I b a m'
_symmetry_Int_Tables_number 72
_symmetry_space_group_name_Hall '-I 2 2c'
_cell_length_a 6.8807
_cell_length_b 13.5745
_cell_length_c 6.7008
_cell_angle_alpha 90.00
_cell_angle_beta 90.00
_cell_angle_gamma 90.00
loop_
_atom_site_label
_atom_site_fract_x
_atom_site_fract_y
_atom_site_fract_z
_atom_site_occupancy
Li1 0.0000 0.0000 0.2500 1
La1 0.2135 0.3633 0.0000 1
Pb1 0.2299 0.1173 0.0000 1
# Total magnetic moment (μB per formula unit): 0.00
# Calculated volume (Å³/cell): 626


The computed energies, referenced to the most stable structure and given in kJ/mol of atoms, are entry P 0.0; entry Q 19.3; entry R 2.2.


Entry P
# Li2LaPb2 (GGA-PBE, optimized geometry)
data_Li2LaPb2
_chemical_formula_sum 'Li4 La2 Pb4'
_symmetry_space_group_name_H-M 'P 4/n m m'
_symmetry_Int_Tables_number 129
_cell_length_a 4.7264
_cell_length_b 4.7264
_cell_length_c 11.0264
_cell_angle_alpha 90.00
_cell_angle_beta 90.00
_cell_angle_gamma 90.00
loop_
_symmetry_equiv_pos_as_xyz
'x,y,z'
'-x,-y,-z'
'-y+1/2,x,z'
'y+1/2,-x,-z'
'-x+1/2,-y+1/2,z'
'x+1/2,y+1/2,-z'
'y,-x+1/2,z'
'-y,x+1/2,-z'
'x+1/2,-y,-z'
'-x+1/2,y,z'
'-y,-x,-z'
'y,x,z'
'-x,y+1/2,-z'
'x,-y+1/2,z'
'y+1/2,x+1/2,-z'
'-y+1/2,-x+1/2,z'
loop_
_atom_site_label
_atom_site_fract_x
_atom_site_fract_y
_atom_site_fract_z
_atom_site_occupancy
Li1 0.2500 0.2500 0.1353 1
Li2 0.2500 0.7500 0.5000 1
La1 0.2500 0.2500 0.7420 1
Pb1 0.2500 0.2500 0.3729 1
Pb2 0.2500 0.7500 0.0000 1
# Total magnetic moment (μB per formula unit): 0.00
# Calculated volume (Å³/cell): 246


Entry Q
# Li2LaPb2 (GGA-PBE, optimized geometry)
data_Li2LaPb2
_chemical_formula_sum 'Li4 La2 Pb4'
_symmetry_space_group_name_H-M 'P 4/m b m'
_symmetry_Int_Tables_number 127
_symmetry_space_group_name_Hall '-P 4 2ab'
_cell_length_a 8.6571
_cell_length_b 8.6571
_cell_length_c 3.2757
_cell_angle_alpha 90.00
_cell_angle_beta 90.00
_cell_angle_gamma 90.00
loop_
_atom_site_label
_atom_site_fract_x
_atom_site_fract_y
_atom_site_fract_z
_atom_site_occupancy
Li1 0.1149 0.3851 0.0000 1
La1 0.0000 0.0000 0.0000 1
Pb1 0.1773 0.6773 0.5000 1
# Total magnetic moment (μB per formula unit): 0.00
# Calculated volume (Å³/cell): 246


Entry R
# Li2LaPb2 (GGA-PBE, optimized geometry)
data_Li2LaPb2
_chemical_formula_sum 'Li4 La2 Pb4'
_symmetry_space_group_name_H-M 'P 4/m b m'
_symmetry_Int_Tables_number 127
_symmetry_space_group_name_Hall '-P 4 2ab'
_cell_length_a 8.8883
_cell_length_b 8.8883
_cell_length_c 3.2813
_cell_angle_alpha 90.00
_cell_angle_beta 90.00
_cell_angle_gamma 90.00
loop_
_atom_site_label
_atom_site_fract_x
_atom_site_fract_y
_atom_site_fract_z
_atom_site_occupancy
Li1 0.1391 0.3609 0.0000 1
La1 0.0000 0.0000 0.5000 1
Pb1 0.1532 0.6532 0.5000 1
# Total magnetic moment (μB per formula unit): 0.14
# Calculated volume (Å³/cell): 259


The computed energies, referenced to the most stable structure and given in kJ/mol of atoms, are entry P 0.0; entry Q 3.3; entry R 16.3.


Entry P
# LiLaPb3 (GGA-PBE, optimized geometry)
data_LiLaPb3
_chemical_formula_sum 'Li1 La1 Pb3'
_symmetry_space_group_name_H-M 'P m -3 m'
_symmetry_Int_Tables_number 221
_symmetry_space_group_name_Hall '-P 4 2 3'
_cell_length_a 6.1566
_cell_length_b 6.1566
_cell_length_c 6.1566
_cell_angle_alpha 90.00
_cell_angle_beta 90.00
_cell_angle_gamma 90.00
loop_
_atom_site_label
_atom_site_fract_x
_atom_site_fract_y
_atom_site_fract_z
_atom_site_occupancy
Li1 0.0000 0.0000 0.0000 1
La1 0.5000 0.5000 0.5000 1
Pb1 0.0000 0.5000 0.5000 1
# Total magnetic moment (μB per formula unit): 0.00
# Calculated volume (Å³/cell): 233


Entry Q
# LiLaPb3 (GGA-PBE, optimized geometry)
data_LiLaPb3
_chemical_formula_sum 'Li1 La1 Pb3'
_symmetry_space_group_name_H-M 'P m -3 m'
_symmetry_Int_Tables_number 221
_symmetry_space_group_name_Hall '-P 4 2 3'
_cell_length_a 5.2104
_cell_length_b 5.2104
_cell_length_c 5.2104
_cell_angle_alpha 90.00
_cell_angle_beta 90.00
_cell_angle_gamma 90.00
loop_
_atom_site_label
_atom_site_fract_x
_atom_site_fract_y
_atom_site_fract_z
_atom_site_occupancy
Li1 0.0000 0.0000 0.0000 1
La1 0.5000 0.5000 0.5000 1
Pb1 0.0000 0.0000 0.5000 1
# Total magnetic moment (μB per formula unit): 0.00
# Calculated volume (Å³/cell): 141


The computed energies, referenced to the most stable structure and given in kJ/mol of atoms, are entry P 63.7; entry Q 0.0.


Entry P
# LiLaPd (GGA-PBE, optimized geometry)
data_LiLaPd
_chemical_formula_sum 'Li4 La4 Pd4'
_symmetry_space_group_name_H-M 'F -4 3 m'
_symmetry_Int_Tables_number 216
_symmetry_space_group_name_Hall 'F -4 2 3'
_cell_length_a 6.8253
_cell_length_b 6.8253
_cell_length_c 6.8253
_cell_angle_alpha 90.00
_cell_angle_beta 90.00
_cell_angle_gamma 90.00
loop_
_atom_site_label
_atom_site_fract_x
_atom_site_fract_y
_atom_site_fract_z
_atom_site_occupancy
Li1 0.0000 0.0000 0.0000 1
La1 0.0000 0.0000 0.5000 1
Pd1 0.2500 0.2500 0.2500 1
# Total magnetic moment (μB per formula unit): 0.00
# Calculated volume (Å³/cell): 318


Entry Q
# LiLaPd (GGA-PBE, optimized geometry)
data_LiLaPd
_chemical_formula_sum 'Li2 La2 Pd2'
_symmetry_space_group_name_H-M 'P m m a'
_symmetry_Int_Tables_number 51
_symmetry_space_group_name_Hall '-P 2a 2a'
_cell_length_a 4.6560
_cell_length_b 3.7666
_cell_length_c 8.6370
_cell_angle_alpha 90.00
_cell_angle_beta 90.00
_cell_angle_gamma 90.00
loop_
_atom_site_label
_atom_site_fract_x
_atom_site_fract_y
_atom_site_fract_z
_atom_site_occupancy
Li1 0.2500 0.0000 0.0900 1
La1 0.2500 0.5000 0.6842 1
Pd1 0.2500 0.0000 0.3951 1
# Total magnetic moment (μB per formula unit): 0.00
# Calculated volume (Å³/cell): 151


Entry R
# LiLaPd (GGA-PBE, optimized geometry)
data_LiLaPd
_chemical_formula_sum 'Li2 La2 Pd2'
_symmetry_space_group_name_H-M 'I 4 m m'
_symmetry_Int_Tables_number 107
_symmetry_space_group_name_Hall 'I 4 -2'
_cell_length_a 3.6602
_cell_length_b 3.6602
_cell_length_c 10.0185
_cell_angle_alpha 90.00
_cell_angle_beta 90.00
_cell_angle_gamma 90.00
loop_
_atom_site_label
_atom_site_fract_x
_atom_site_fract_y
_atom_site_fract_z
_atom_site_occupancy
Li1 0.0000 0.0000 0.0000 1
La1 0.0000 0.0000 0.2884 1
Pd1 0.0000 0.0000 0.6227 1
# Total magnetic moment (μB per formula unit): 0.00
# Calculated volume (Å³/cell): 134


Entry S
# LiLaPd (GGA-PBE, optimized geometry)
data_LiLaPd
_chemical_formula_sum 'Li2 La2 Pd2'
_symmetry_space_group_name_H-M 'P 4/n m m'
_symmetry_Int_Tables_number 129
_cell_length_a 4.1326
_cell_length_b 4.1326
_cell_length_c 8.0462
_cell_angle_alpha 90.00
_cell_angle_beta 90.00
_cell_angle_gamma 90.00
loop_
_symmetry_equiv_pos_as_xyz
'x,y,z'
'-x,-y,-z'
'-y+1/2,x,z'
'y+1/2,-x,-z'
'-x+1/2,-y+1/2,z'
'x+1/2,y+1/2,-z'
'y,-x+1/2,z'
'-y,x+1/2,-z'
'x+1/2,-y,-z'
'-x+1/2,y,z'
'-y,-x,-z'
'y,x,z'
'-x,y+1/2,-z'
'x,-y+1/2,z'
'y+1/2,x+1/2,-z'
'-y+1/2,-x+1/2,z'
loop_
_atom_site_label
_atom_site_fract_x
_atom_site_fract_y
_atom_site_fract_z
_atom_site_occupancy
Li1 0.2500 0.7500 0.0000 1
La1 0.2500 0.2500 0.3312 1
Pd1 0.2500 0.2500 0.7399 1
# Total magnetic moment (μB per formula unit): 0.00
# Calculated volume (Å³/cell): 137


The computed energies, referenced to the most stable structure and given in kJ/mol of atoms, are entry P 18.2; entry Q 8.3; entry R 16.8; entry S 0.0.